#a
YMgSc (PBE, optimized geometry); calculated volume = 165.78 Å³ per cell; M_tot = 0.000 μB/atom
1.0
5.8469 0.0000 0.0000
0.0000 5.8469 0.0000
-2.9235 -2.9235 4.8492
Sc Y Mg
2 2 2
direct
0.0683 0.0683 0.1366 Sc
0.3183 0.8183 0.6366 Sc
0.6691 0.1691 0.3381 Y
0.4191 0.4191 0.8381 Y
0.7626 0.7626 0.5253 Mg
0.0126 0.5126 0.0253 Mg



#b
YMgSc (PBE, optimized geometry); calculated volume = 161.86 Å³ per cell; M_tot = 0.000 μB/atom
1.0
5.0929 0.0002 0.0005
-0.0003 3.3165 0.0059
0.0021 -1.6783 9.5796
Sc Y Mg
2 2 2
direct
0.3473 0.0356 0.4925 Sc
0.8473 0.9551 0.3311 Sc
0.3472 0.3796 0.1809 Y
0.8470 0.6107 0.6426 Y
0.8465 0.7864 0.9966 Mg
0.3459 0.2022 0.8268 Mg



#c
YMgSc (PBE, optimized geometry); calculated volume = 159.54 Å³ per cell; M_tot = 0.000 μB/atom
1.0
3.3378 -0.0007 0.6206
0.0004 3.3997 0.0030
0.8130 -0.0116 14.2107
Mg Y Sc
2 2 2
direct
0.4444 0.2928 0.1840 Mg
0.8006 0.7928 0.3285 Mg
0.1169 0.7908 0.0107 Y
0.1280 0.2908 0.5016 Y
0.7925 0.2897 0.8355 Sc
0.4522 0.7897 0.6767 Sc



Which structure is the most stable? The one labeled #c.



#a
MgSc3Zn (PBE, optimized geometry); calculated volume = 140.84 Å³ per cell; M_tot = 0.185 μB/atom
1.0
-0.5970 -3.4048 -3.8886
-2.5461 -3.2128 3.2040
-4.4979 2.2706 -1.2975
Sc Zn Mg
3 1 1
direct
0.5000 0.0000 0.0000 Sc
0.0000 0.5000 0.0000 Sc
0.0000 0.0000 0.5000 Sc
0.5000 0.5000 0.5000 Zn
0.0000 0.0000 0.0000 Mg



#b
MgSc3Zn (PBE, optimized geometry); calculated volume = 215.80 Å³ per cell; M_tot = 0.000 μB/atom
1.0
4.6284 0.0000 1.0577
0.0000 4.7437 0.0000
0.1795 0.0000 9.8698
Mg Zn Sc
2 2 6
direct
0.4786 0.7500 0.6911 Mg
0.1697 0.2500 0.3089 Mg
0.6655 0.7500 0.3174 Zn
0.9829 0.2500 0.6826 Zn
0.0746 0.7500 0.4991 Sc
0.3818 0.2500 0.8848 Sc
0.7636 0.2500 0.1210 Sc
0.5737 0.2500 0.5009 Sc
0.8847 0.7500 0.8790 Sc
0.2666 0.7500 0.1152 Sc



#c
MgSc3Zn (PBE, optimized geometry); calculated volume = 133.35 Å³ per cell; M_tot = 0.000 μB/atom
1.0
-0.4265 3.2705 -3.9016
3.7890 -2.4111 -2.4353
-3.4003 -3.0970 -2.2243
Sc Zn Mg
3 1 1
direct
0.5000 0.0000 0.0000 Sc
0.0000 0.5000 0.0000 Sc
0.0000 0.0000 0.5000 Sc
0.0000 0.0000 0.0000 Zn
0.5000 0.5000 0.5000 Mg



Which structure is the most stable? The one labeled #b.



#a
MgScZn3 (PBE, optimized geometry); calculated volume = 139.64 Å³ per cell; M_tot = 0.000 μB/atom
1.0
5.1880 0.0000 0.0000
0.0000 5.1880 0.0000
0.0000 0.0000 5.1880
Zn Sc Mg
3 1 1
direct
0.0000 0.0000 0.5000 Zn
0.5000 0.0000 0.0000 Zn
0.0000 0.5000 0.0000 Zn
0.0000 0.0000 0.0000 Sc
0.5000 0.5000 0.5000 Mg



#b
MgScZn3 (PBE, optimized geometry); calculated volume = 178.05 Å³ per cell; M_tot = 0.000 μB/atom
1.0
4.4077 0.0000 0.0000
0.0000 3.1537 0.0000
0.0000 -1.5768 12.8088
Zn Sc Mg
6 2 2
direct
0.7500 0.3271 0.6542 Zn
0.2500 0.3780 0.7561 Zn
0.7500 0.5239 0.0478 Zn
0.2500 0.4761 0.9522 Zn
0.2500 0.6729 0.3458 Zn
0.7500 0.6220 0.2439 Zn
0.7500 0.9262 0.8523 Sc
0.2500 0.0738 0.1477 Sc
0.2500 0.7845 0.5690 Mg
0.7500 0.2155 0.4310 Mg



Which structure is the most stable? The one labeled #b.



#a
MgSc2Zn3 (PBE, optimized geometry); calculated volume = 218.88 Å³ per cell; M_tot = 0.000 μB/atom
1.0
-0.9998 3.6771 -2.7170
2.7137 -3.4461 -1.6317
-9.3462 -5.4779 -3.9744
Zn Mg Sc
6 2 4
direct
0.3333 0.6667 0.9185 Zn
0.0000 0.0000 0.7499 Zn
0.6667 0.3333 0.0815 Zn
0.0000 0.0000 0.2501 Zn
0.6667 0.3333 0.5812 Zn
0.3333 0.6667 0.4188 Zn
0.6667 0.3333 0.3343 Mg
0.3333 0.6667 0.6657 Mg
0.0000 0.0000 0.0000 Sc
0.3333 0.6667 0.1719 Sc
0.6667 0.3333 0.8281 Sc
0.0000 0.0000 0.5000 Sc



#b
MgSc2Zn3 (PBE, optimized geometry); calculated volume = 110.91 Å³ per cell; M_tot = 0.000 μB/atom
1.0
-2.6975 -0.7248 -1.8060
1.9453 -0.9178 -2.5372
0.1643 -9.3845 3.5207
Sc Zn Mg
2 3 1
direct
0.5000 0.5000 0.8329 Sc
0.5000 0.5000 0.1671 Sc
0.0000 0.0000 0.0000 Zn
0.0000 0.0000 0.3316 Zn
0.0000 0.0000 0.6684 Zn
0.5000 0.5000 0.5000 Mg



Which structure is the most stable? The one labeled #a.



#a
Mg2ScZn2 (PBE, optimized geometry); calculated volume = 101.95 Å³ per cell; M_tot = 0.000 μB/atom
1.0
3.9422 0.0000 0.0000
0.0000 3.9422 0.0000
1.9711 1.9711 6.5598
Zn Sc Mg
2 1 2
direct
0.7500 0.2500 0.5000 Zn
0.2500 0.7500 0.5000 Zn
0.0000 0.0000 0.0000 Sc
0.6067 0.6067 0.7867 Mg
0.3933 0.3933 0.2133 Mg



#b
Mg2ScZn2 (PBE, optimized geometry); calculated volume = 189.48 Å³ per cell; M_tot = 0.071 μB/atom
1.0
8.0322 0.0000 0.0000
0.0000 8.0322 0.0000
0.0000 0.0000 2.9369
Sc Mg Zn
2 4 4
direct
0.5000 0.5000 0.0000 Sc
0.0000 0.0000 0.0000 Sc
0.8722 0.6278 0.0000 Mg
0.1278 0.3722 0.0000 Mg
0.3722 0.8722 0.0000 Mg
0.6278 0.1278 0.0000 Mg
0.6726 0.8274 0.5000 Zn
0.8274 0.3274 0.5000 Zn
0.1726 0.6726 0.5000 Zn
0.3274 0.1726 0.5000 Zn



Which structure is the most stable? The one labeled #b.



#a
Mg2ScZn2 (PBE, optimized geometry); calculated volume = 99.74 Å³ per cell; M_tot = 0.000 μB/atom
1.0
4.0506 0.0000 0.0000
0.0000 4.0506 0.0000
2.0253 2.0253 6.0792
Sc Zn Mg
1 2 2
direct
0.0000 0.0000 0.0000 Sc
0.4019 0.4019 0.1962 Zn
0.5981 0.5981 0.8038 Zn
0.7500 0.2500 0.5000 Mg
0.2500 0.7500 0.5000 Mg



#b
Mg2ScZn2 (PBE, optimized geometry); calculated volume = 195.44 Å³ per cell; M_tot = 0.000 μB/atom
1.0
-5.5494 2.0685 -4.9237
0.5948 -6.8171 -3.5343
-2.2704 -1.2521 2.0329
Zn Mg Sc
4 4 2
direct
0.3776 0.8776 0.0000 Zn
0.8776 0.6224 0.0000 Zn
0.6224 0.1224 0.0000 Zn
0.1224 0.3776 0.0000 Zn
0.1758 0.6758 0.5000 Mg
0.3242 0.1758 0.5000 Mg
0.6758 0.8242 0.5000 Mg
0.8242 0.3242 0.5000 Mg
0.0000 0.0000 0.0000 Sc
0.5000 0.5000 0.0000 Sc



Which structure is the most stable? The one labeled #b.